# 1
Material: CaHfGe2Au
Method: DFT, PBE-GGA
State: optimized geometry

Computed properties:
The uncorrected energy comes out at -3.4695 eV per atom. As for the formation energy: 1424 meV per atom. The space group is P4/mmm (123). As for the volume: 27.0 A^3/atom.

Geometry as POSCAR:
```
CaHfGe2Au
1.0
-4.298 1.090 -2.640
-2.780 -2.218 3.611
-0.379 4.510 2.478
Hf Ge Au Ca
1 2 1 1
Cartesian
-1.390 -1.109 1.806 Hf
-0.189 2.255 1.239 Ge
-2.149 0.545 -1.320 Ge
-3.728 1.691 1.725 Au
0.000 0.000 0.000 Ca
```


# 2
Material: BiTePd2
Method: DFT, PBE-GGA
State: optimized geometry

Computed properties:
The value obtained for the relative energy among the computed polymorphs is 0.00 eV per formula unit. The uncorrected energy comes out at -4.7046 eV per atom. The value obtained for the uncorrected formation energy is -1.4 eV/f.u. The space group is Pbcm (57). As for the volume: 22.6 A^3/atom.

Geometry as POSCAR:
```
BiTePd2
1.0
-3.120 -4.628 1.351
3.556 -0.517 6.442
-5.871 5.021 3.644
Bi Te Pd
4 4 8
Cartesian
-0.039 -0.759 3.406 Bi
-2.712 2.785 9.389 Bi
-2.722 -2.910 2.048 Bi
-5.395 0.635 8.031 Bi
-5.772 -0.354 3.766 Te
-2.946 1.775 5.384 Te
0.337 0.230 7.670 Te
-2.489 -1.900 6.053 Te
0.290 -2.003 6.012 Pd
-1.269 -4.317 6.690 Pd
-4.499 -2.816 4.369 Pd
-4.165 4.193 4.746 Pd
-0.935 2.692 7.068 Pd
-2.496 0.378 7.742 Pd
-5.724 1.879 5.424 Pd
-2.939 -0.502 3.694 Pd
```


# 3
Material: La3Nd4Ag
Method: DFT, PBE-GGA
State: optimized geometry

Computed properties:
The uncorrected energy comes out at -4.6361 eV per atom. As for the formation energy: -48 meV per atom. The space group is P4/mmm (123). As for the volume: 33.7 A^3/atom.

Geometry as POSCAR:
```
La3Nd4Ag
1.0
-3.344 0.338 -1.662
-1.106 -3.220 1.571
-6.568 9.664 15.183
Nd Ag La
4 1 3
Cartesian
-5.928 8.722 13.704 Nd
-0.640 0.941 1.479 Nd
-2.397 3.527 5.542 Nd
-4.171 6.136 9.641 Nd
-2.225 -1.441 -0.046 Ag
-3.738 0.785 3.451 La
-5.509 3.391 7.546 La
-7.281 5.997 11.641 La
```


# 4
Material: Cs2ScBiBr6
Method: DFT, PBE-GGA
State: optimized geometry

Computed properties:
The uncorrected energy comes out at -3.5373 eV per atom. The value obtained for the uncorrected formation energy is -13.4 eV/f.u. The space group is I4/mmm (139). As for the volume: 41.6 A^3/atom.

Geometry as POSCAR:
```
Cs2ScBiBr6
1.0
7.896 0.000 0.000
0.000 7.896 0.000
3.948 3.948 6.671
Cs Sc Bi Br
2 1 1 6
Cartesian
7.896 3.948 3.335 Cs
3.948 7.896 3.335 Cs
3.948 3.948 0.000 Sc
0.000 0.000 0.000 Bi
3.948 3.948 2.656 Br
7.896 7.896 4.015 Br
2.058 2.058 0.000 Br
5.838 5.838 0.000 Br
5.838 2.058 0.000 Br
2.058 5.838 0.000 Br
```


# 5
Material: PrZnRu
Method: DFT, PBE-GGA
State: optimized geometry

Computed properties:
The uncorrected energy comes out at -5.2166 eV per atom. As for the formation energy: -107 meV per atom. The space group is Imma (74). As for the volume: 23.1 A^3/atom.

Geometry as POSCAR:
```
PrZnRu
1.0
-3.236 0.385 -3.672
0.294 -4.360 -3.992
-4.634 -3.658 0.423
Pr Zn Ru
2 2 2
Cartesian
-7.307 -6.469 -6.189 Pr
-3.520 -2.654 -2.568 Pr
-1.858 -5.029 -4.279 Zn
-4.887 -4.636 -4.850 Zn
-5.836 -4.483 -2.357 Ru
-7.454 -4.290 -4.193 Ru
```


# 6
Material: Th6BiSb5
Method: DFT, PBE-GGA
State: optimized geometry

Computed properties:
The uncorrected energy comes out at -6.5991 eV per atom. The value obtained for the uncorrected formation energy is -10.2 eV/f.u. The space group is C2/m (12). As for the volume: 32.7 A^3/atom.

Geometry as POSCAR:
```
Th6BiSb5
1.0
-2.420 -7.352 1.234
-1.552 -3.427 -6.853
5.645 -3.889 -3.793
Th Bi Sb
6 1 5
Cartesian
-0.019 -7.090 -0.952 Th
0.406 -5.166 -4.916 Th
-1.006 -2.728 -1.444 Th
-2.966 -8.052 -4.175 Th
1.266 -9.502 -4.496 Th
1.691 -7.578 -8.460 Th
0.000 0.000 0.000 Bi
2.336 -6.854 -3.056 Sb
1.375 -2.442 -3.549 Sb
-1.986 -5.390 -2.809 Sb
2.717 -4.874 -7.097 Sb
-0.664 -7.814 -6.356 Sb
```


# 7
Material: La14TbTh
Method: DFT, PBE-GGA
State: optimized geometry

Computed properties:
The uncorrected energy comes out at -5.0501 eV per atom. As for the formation energy: 15 meV per atom. The space group is Amm2 (38). As for the volume: 35.8 A^3/atom.

Geometry as POSCAR:
```
La14TbTh
1.0
7.313 0.985 0.000
-0.978 7.314 0.000
0.000 0.000 10.521
La Tb Th
14 1 1
Cartesian
2.134 4.938 5.261 La
6.274 1.778 5.261 La
5.786 5.430 0.000 La
5.790 5.438 5.261 La
2.622 1.286 0.000 La
2.616 1.280 5.261 La
3.682 6.971 7.943 La
3.682 6.971 2.578 La
0.581 2.909 7.943 La
0.581 2.909 2.578 La
0.103 6.489 7.946 La
0.103 6.489 2.576 La
4.160 3.391 7.941 La
4.160 3.391 2.580 La
6.277 1.775 0.000 Tb
2.131 4.941 0.000 Th
```


# 8
Material: InIr
Method: DFT, PBE-GGA
State: optimized geometry

Computed properties:
The uncorrected energy comes out at -5.6105 eV per atom. As for the formation energy: 189 meV per atom. The space group is Fddd (70). As for the volume: 19.2 A^3/atom.

Geometry as POSCAR:
```
InIr
1.0
10.408 0.000 0.000
0.000 14.077 0.000
0.000 0.000 4.195
In Ir
16 16
Cartesian
8.947 0.000 0.000 In
1.461 0.000 0.000 In
4.063 10.558 1.049 In
1.141 10.558 1.049 In
8.947 7.038 2.098 In
1.461 7.038 2.098 In
4.063 3.519 3.146 In
1.141 3.519 3.146 In
3.743 0.000 2.098 In
6.665 0.000 2.098 In
9.267 10.558 3.146 In
6.345 10.558 3.146 In
3.743 7.038 0.000 In
6.665 7.038 0.000 In
9.267 3.519 1.049 In
6.345 3.519 1.049 In
0.000 5.727 0.000 Ir
0.000 8.350 0.000 Ir
2.602 4.831 1.049 Ir
2.602 2.208 1.049 Ir
0.000 12.765 2.098 Ir
0.000 1.312 2.098 Ir
2.602 11.869 3.146 Ir
2.602 9.246 3.146 Ir
5.204 5.727 2.098 Ir
5.204 8.350 2.098 Ir
7.806 4.831 3.146 Ir
7.806 2.208 3.146 Ir
5.204 12.765 0.000 Ir
5.204 1.312 0.000 Ir
7.806 11.869 1.049 Ir
7.806 9.246 1.049 Ir
```


# 9
Material: AcHfSn2
Method: DFT, PBE-GGA
State: optimized geometry

Computed properties:
The uncorrected energy comes out at -5.8665 eV per atom. As for the formation energy: -350 meV per atom. The space group is P4/mmm (123). As for the volume: 27.6 A^3/atom.

Geometry as POSCAR:
```
AcHfSn2
1.0
-2.702 -0.841 -2.766
1.429 -3.680 -0.277
-4.479 -2.117 5.020
Ac Hf Sn
1 1 2
Cartesian
-2.877 -3.319 0.988 Ac
-0.637 -2.261 -1.522 Hf
-3.564 -1.684 3.994 Sn
-0.915 -0.432 1.025 Sn
```


# 10
Material: VMo5W6
Method: DFT, PBE-GGA
State: optimized geometry

Computed properties:
The uncorrected energy comes out at -11.7963 eV per atom. As for the formation energy: -47 meV per atom. The space group is C2/m (12). As for the volume: 15.8 A^3/atom.

Geometry as POSCAR:
```
VMo5W6
1.0
4.291 0.017 -1.255
-0.869 5.561 -2.896
-0.078 0.412 7.733
Mo W V
5 6 1
Cartesian
2.688 1.072 1.253 Mo
1.089 2.135 3.773 Mo
-0.434 2.781 -1.448 Mo
2.256 3.856 -0.190 Mo
0.656 4.918 2.330 Mo
3.019 3.548 2.428 W
3.456 0.751 3.884 W
1.414 4.606 4.926 W
1.931 1.384 -1.344 W
-0.112 5.239 -0.302 W
0.325 2.443 1.154 W
0.000 0.000 0.000 V
```


# 11
Material: SrPm2TcN4
Method: DFT, PBE-GGA
State: optimized geometry

Computed properties:
The uncorrected energy comes out at -7.7236 eV per atom. The value obtained for the uncorrected formation energy is -6.9 eV/f.u. The space group is Cmcm (63). As for the volume: 16.8 A^3/atom.

Geometry as POSCAR:
```
SrPm2TcN4
1.0
-0.146 -3.413 -0.863
6.261 1.451 0.398
-0.061 -3.026 11.971
Sr Pm Tc N
2 4 2 8
Cartesian
0.799 -2.304 8.974 Sr
5.255 -2.684 2.532 Sr
4.556 -1.828 6.457 Pm
1.524 -1.898 0.056 Pm
1.499 -3.160 5.049 Pm
4.530 -3.090 11.450 Pm
3.747 -4.136 8.526 Tc
2.307 -0.852 2.980 Tc
3.225 -0.493 1.404 N
2.845 -3.701 6.959 N
2.829 -4.495 10.103 N
3.209 -1.287 4.547 N
-0.030 -1.513 5.986 N
0.000 0.000 0.000 N
4.955 -2.476 8.952 N
1.099 -2.512 2.555 N
```


# 12
Material: AgSn2Os
Method: DFT, PBE-GGA
State: optimized geometry

Computed properties:
The value obtained for the relative energy among the computed polymorphs is 1.33 eV per formula unit. The uncorrected energy comes out at -4.7440 eV per atom. As for the formation energy: 778 meV per atom. The space group is I-42d (122). As for the volume: 29.2 A^3/atom.

Geometry as POSCAR:
```
AgSn2Os
1.0
-6.076 -0.483 -1.990
1.634 -4.901 -3.798
-3.316 -6.333 1.333
Os Sn Ag
2 4 2
Cartesian
0.000 0.000 0.000 Os
-5.806 -4.754 -1.776 Os
-4.614 -2.513 -1.448 Sn
-0.375 -4.691 -2.226 Sn
-4.205 -6.614 -1.050 Sn
-6.322 -9.615 -4.185 Sn
-2.221 -2.692 -2.894 Ag
-1.952 -6.963 -2.679 Ag
```


# 13
Material: NbTe2MoP
Method: DFT, PBE-GGA
State: optimized geometry

Computed properties:
The value obtained for the relative energy among the computed polymorphs is 0.72 eV per formula unit. The uncorrected energy comes out at -5.4082 eV per atom. The value obtained for the uncorrected formation energy is 5.6 eV/f.u. The space group is P4/mmm (123). As for the volume: 25.0 A^3/atom.

Geometry as POSCAR:
```
NbTe2MoP
1.0
5.209 0.000 0.000
0.000 4.612 0.000
0.000 0.000 5.209
P Mo Te Nb
1 1 2 1
Cartesian
0.000 0.000 0.000 P
2.604 2.306 2.604 Mo
0.000 0.000 2.604 Te
2.604 0.000 0.000 Te
0.000 2.306 0.000 Nb
```


# 14
Material: Tb2Dy4Tl
Method: DFT, PBE-GGA
State: optimized geometry

Computed properties:
The value obtained for the relative energy among the computed polymorphs is 0.00 eV per formula unit. The uncorrected energy comes out at -4.3410 eV per atom. As for the formation energy: -50 meV per atom. The space group is Pnma (62). As for the volume: 30.8 A^3/atom.

Geometry as POSCAR:
```
Tb2Dy4Tl
1.0
3.521 0.000 0.001
0.000 20.343 0.000
-0.003 0.000 12.036
Tb Dy Tl
8 16 4
Cartesian
2.641 19.288 1.184 Tb
0.877 1.056 10.854 Tb
0.879 11.227 7.202 Tb
2.639 9.116 4.836 Tb
2.639 17.486 6.376 Tb
0.879 2.857 5.662 Tb
0.880 13.029 0.357 Tb
2.638 7.314 11.681 Tb
0.878 20.331 7.503 Dy
2.640 0.013 4.535 Dy
2.640 10.185 1.485 Dy
0.878 10.159 10.553 Dy
2.637 18.428 9.840 Dy
0.880 1.915 2.198 Dy
0.878 12.087 3.821 Dy
2.639 8.256 8.217 Dy
2.639 14.988 2.766 Dy
0.878 5.356 9.272 Dy
0.878 15.527 8.784 Dy
2.640 4.816 3.254 Dy
0.881 16.371 0.062 Dy
2.637 3.972 11.975 Dy
2.640 14.144 6.081 Dy
0.878 6.200 5.957 Dy
0.879 17.628 3.512 Tl
2.638 2.715 8.526 Tl
2.638 12.887 9.531 Tl
0.880 7.456 2.507 Tl
```


# 15
Material: BaGa3Pd3
Method: DFT, PBE-GGA
State: optimized geometry

Computed properties:
The value obtained for the relative energy among the computed polymorphs is 0.12 eV per formula unit. The uncorrected energy comes out at -4.2935 eV per atom. As for the formation energy: -496 meV per atom. The space group is Pm-3n (223). As for the volume: 24.1 A^3/atom.

Geometry as POSCAR:
```
BaGa3Pd3
1.0
-3.081 0.479 -6.225
-5.407 -3.675 2.393
-3.121 5.893 1.999
Ga Ba Pd
6 2 6
Cartesian
-2.912 2.028 1.598 Ga
-5.616 0.190 2.794 Ga
-3.881 4.660 -1.613 Ga
-5.014 -1.478 -3.472 Ga
-2.321 1.713 -2.613 Ga
-3.474 -1.718 -0.360 Ga
-5.804 1.349 -0.916 Ba
0.000 0.000 0.000 Ba
-2.331 3.067 -0.557 Pd
-3.484 -0.364 1.696 Pd
-5.596 -2.517 -1.317 Pd
-3.871 3.306 -3.669 Pd
-5.044 2.582 2.696 Pd
-2.892 -0.679 -2.514 Pd
```


# 16
Material: RbSb2Rh
Method: DFT, PBE-GGA
State: optimized geometry

Computed properties:
The value obtained for the relative energy among the computed polymorphs is 2.68 eV per formula unit. The uncorrected energy comes out at -3.8629 eV per atom. The value obtained for the uncorrected formation energy is 1.1 eV/f.u. The space group is Fm-3m (225). As for the volume: 24.2 A^3/atom.

Geometry as POSCAR:
```
RbSb2Rh
1.0
0.000 3.646 3.646
3.646 0.000 3.646
3.646 3.646 0.000
Sb Rh Rb
2 1 1
Cartesian
1.823 1.823 1.823 Sb
5.469 5.469 5.469 Sb
3.646 3.646 3.646 Rh
0.000 0.000 0.000 Rb
```


# 17
Material: YHfCl3
Method: DFT, PBE-GGA
State: optimized geometry

Computed properties:
The value obtained for the relative energy among the computed polymorphs is 0.22 eV per formula unit. The uncorrected energy comes out at -4.9192 eV per atom. The value obtained for the uncorrected formation energy is -2.6 eV/f.u. The space group is Pm-3m (221). As for the volume: 30.4 A^3/atom.

Geometry as POSCAR:
```
YHfCl3
1.0
5.338 0.000 0.000
0.000 5.338 0.000
0.000 0.000 5.338
Y Hf Cl
1 1 3
Cartesian
0.000 0.000 0.000 Y
2.669 2.669 2.669 Hf
0.000 2.669 0.000 Cl
0.000 0.000 2.669 Cl
2.669 0.000 0.000 Cl
```


# 18
Material: Hg3HPd
Method: DFT, PBE-GGA
State: optimized geometry

Computed properties:
The value obtained for the relative energy among the computed polymorphs is 1.77 eV per formula unit. The uncorrected energy comes out at -1.5069 eV per atom. The space group is Pm-3m (221). As for the volume: 17.4 A^3/atom.

Geometry as POSCAR:
```
Hg3HPd
1.0
-4.070 -0.017 -1.743
1.250 -3.114 -2.889
-1.215 -3.147 2.867
H Hg Pd
1 3 1
Cartesian
0.000 0.000 0.000 H
0.625 -1.557 -1.444 Hg
-0.608 -1.574 1.434 Hg
-2.035 -0.008 -0.871 Hg
-2.018 -3.139 -0.882 Pd
```


# 19
Material: DyErP2
Method: DFT, PBE-GGA
State: optimized geometry

Computed properties:
The value obtained for the relative energy among the computed polymorphs is 0.00 eV per formula unit. The uncorrected energy comes out at -6.6106 eV per atom. As for the formation energy: -1614 meV per atom. The space group is C2/c (15). As for the volume: 22.4 A^3/atom.

Geometry as POSCAR:
```
DyErP2
1.0
6.683 -0.032 -1.740
-2.963 5.779 -2.350
-0.064 0.825 8.877
Dy Er P
4 4 8
Cartesian
1.864 0.869 4.860 Dy
2.824 1.889 -0.607 Dy
1.792 5.704 -0.073 Dy
0.832 4.683 5.394 Dy
5.654 1.774 5.692 Er
-1.997 4.798 -0.905 Er
-0.066 2.834 1.978 Er
3.723 3.739 2.809 Er
3.258 3.235 5.535 P
-1.597 6.128 5.245 P
0.398 3.338 -0.748 P
5.253 0.445 -0.458 P
4.213 4.247 0.082 P
1.320 5.189 2.661 P
-0.556 2.325 4.705 P
2.336 1.384 2.126 P
```


# 20
Material: La2YTe
Method: DFT, PBE-GGA
State: optimized geometry

Computed properties:
The uncorrected energy comes out at -5.4548 eV per atom. The value obtained for the uncorrected formation energy is -2.4 eV/f.u. The space group is R3m (160). As for the volume: 36.1 A^3/atom.

Geometry as POSCAR:
```
La2YTe
1.0
4.054 0.000 0.000
2.027 3.511 0.000
2.027 1.170 10.157
La Y Te
2 1 1
Cartesian
2.027 1.170 7.945 La
2.027 1.170 2.211 La
4.054 2.341 5.087 Y
6.082 3.511 10.149 Te
```